Record 1
In2HgGeH: relaxed, PBE.

Cell: 5.5877 5.5877 3.5081 Å, 90.00 90.00 90.00°
Space group P4/mmm (No. 123)
Inequivalent atoms, fractional coordinates:
1 In 0.0000 0.5000 0.0000 x2
2 Hg 0.0000 0.0000 0.5000 x1
3 Ge 0.5000 0.5000 0.0000 x1
4 H 0.5000 0.5000 0.5000 x1

=====

Record 2
Li2HgGeH: relaxed, PBE.

Output
For the energy above the most stable polymorph in this dataset, the calculation gives 0.000 eV/atom.

Cell: 4.1713 4.1713 4.1686 Å, 90.00 90.00 90.00°
Space group P4/mmm (No. 123)
Inequivalent atoms, fractional coordinates:
1 Li 0.0000 0.5000 0.0000 x2
2 Hg 0.0000 0.0000 0.5000 x1
3 Ge 0.5000 0.5000 0.5000 x1
4 H 0.5000 0.5000 0.0000 x1

=====

Record 3
Li2HgGeH: relaxed, PBE.

Output
For the energy above the most stable polymorph in this dataset, the calculation gives 0.031 eV/atom.

Cell: 4.2180 4.2180 4.0617 Å, 90.00 90.00 90.00°
Space group P4/mmm (No. 123)
Inequivalent atoms, fractional coordinates:
1 Li 0.0000 0.5000 0.0000 x2
2 Hg 0.0000 0.0000 0.5000 x1
3 Ge 0.5000 0.5000 0.5000 x1
4 H 0.0000 0.0000 0.0000 x1

=====

Record 4
Hg2GeHN: relaxed, PBE.

Cell: 4.3081 4.3081 4.3824 Å, 90.00 90.00 90.00°
Space group P4/mmm (No. 123)
Inequivalent atoms, fractional coordinates:
1 Hg 0.0000 0.5000 0.0000 x2
2 Ge 0.0000 0.0000 0.5000 x1
3 H 0.0000 0.0000 0.0000 x1
4 N 0.5000 0.5000 0.5000 x1

=====

Record 5
Hg2GeHOs: relaxed, PBE.

Cell: 4.8124 4.8124 3.4703 Å, 90.00 90.00 90.00°
Space group P4/mmm (No. 123)
Inequivalent atoms, fractional coordinates:
1 Hg 0.0000 0.5000 0.0000 x2
2 Ge 0.0000 0.0000 0.5000 x1
3 H 0.0000 0.0000 0.0000 x1
4 Os 0.5000 0.5000 0.5000 x1

=====

Record 6
HgGeP2H: relaxed, PBE.

Cell: 4.0273 4.0273 4.9616 Å, 90.00 90.00 90.00°
Space group P4/mmm (No. 123)
Inequivalent atoms, fractional coordinates:
1 Hg 0.0000 0.0000 0.0000 x1
2 Ge 0.5000 0.5000 0.0000 x1
3 P 0.0000 0.5000 0.5000 x2
4 H 0.5000 0.5000 0.5000 x1

=====

Record 7
HgGeHPb2: relaxed, PBE.

Cell: 5.8043 5.8043 3.5003 Å, 90.00 90.00 90.00°
Space group P4/mmm (No. 123)
Inequivalent atoms, fractional coordinates:
1 Hg 0.0000 0.0000 0.0000 x1
2 Ge 0.5000 0.5000 0.5000 x1
3 H 0.5000 0.5000 0.0000 x1
4 Pb 0.0000 0.5000 0.5000 x2

=====

Record 8
Hg2GeHPb: relaxed, PBE.

Cell: 5.5324 5.5324 3.6008 Å, 90.00 90.00 90.00°
Space group P4/mmm (No. 123)
Inequivalent atoms, fractional coordinates:
1 Hg 0.0000 0.5000 0.0000 x2
2 Ge 0.0000 0.0000 0.0000 x1
3 H 0.0000 0.0000 0.5000 x1
4 Pb 0.5000 0.5000 0.5000 x1

=====

Record 9
Hg2GeHPt: relaxed, PBE.

Cell: 4.4990 4.4990 4.1352 Å, 90.00 90.00 90.00°
Space group P4/mmm (No. 123)
Inequivalent atoms, fractional coordinates:
1 Hg 0.0000 0.5000 0.0000 x2
2 Ge 0.0000 0.0000 0.5000 x1
3 H 0.0000 0.0000 0.0000 x1
4 Pt 0.5000 0.5000 0.5000 x1

=====

Record 10
ReHgGeH2: relaxed, PBE.

Cell: 3.7532 3.7532 5.4981 Å, 90.00 90.00 90.00°
Space group P4/mmm (No. 123)
Inequivalent atoms, fractional coordinates:
1 Re 0.0000 0.0000 0.0000 x1
2 Hg 0.0000 0.0000 0.5000 x1
3 Ge 0.5000 0.5000 0.5000 x1
4 H 0.0000 0.5000 0.0000 x2

=====

Record 11
Hg2GeHS: relaxed, PBE.

Cell: 4.1250 4.1250 5.9337 Å, 90.00 90.00 90.00°
Space group P4/mmm (No. 123)
Inequivalent atoms, fractional coordinates:
1 Hg 0.0000 0.5000 0.0000 x2
2 Ge 0.0000 0.0000 0.5000 x1
3 H 0.0000 0.0000 0.0000 x1
4 S 0.5000 0.5000 0.5000 x1

=====

Record 12
HgGeSb2H: relaxed, PBE.

Cell: 5.7498 5.7498 3.3377 Å, 90.00 90.00 90.00°
Space group P4/mmm (No. 123)
Inequivalent atoms, fractional coordinates:
1 Hg 0.0000 0.0000 0.0000 x1
2 Ge 0.5000 0.5000 0.5000 x1
3 Sb 0.0000 0.5000 0.5000 x2
4 H 0.5000 0.5000 0.0000 x1

=====

Record 13
ScHg2GeH: relaxed, PBE.

Cell: 4.2447 4.2447 4.9246 Å, 90.00 90.00 90.00°
Space group P4/mmm (No. 123)
Inequivalent atoms, fractional coordinates:
1 Sc 0.0000 0.0000 0.0000 x1
2 Hg 0.0000 0.5000 0.5000 x2
3 Ge 0.5000 0.5000 0.0000 x1
4 H 0.5000 0.5000 0.5000 x1

=====

Record 14
TcHg2GeH: relaxed, PBE.

Cell: 5.3837 5.3837 4.7278 Å, 90.00 90.00 90.00°
Space group P4/mmm (No. 123)
Inequivalent atoms, fractional coordinates:
1 Tc 0.0000 0.0000 0.0000 x1
2 Hg 0.0000 0.5000 0.0000 x2
3 Ge 0.0000 0.0000 0.5000 x1
4 H 0.5000 0.5000 0.5000 x1

=====

Number 1: E_tot -2.58 eV per atom. Number 2: E_tot -2.55 eV per atom. Number 3: E_tot -2.52 eV per atom. Number 4: E_tot -2.09 eV per atom. Number 5: E_tot -3.03 eV per atom. Number 6: E_tot -3.07 eV per atom. Number 7: E_tot -2.91 eV per atom. Number 8: E_tot -2.24 eV per atom. Number 9: E_tot -2.49 eV per atom. Number 10: E_tot -3.88 eV per atom. Number 11: E_tot -2.07 eV per atom. Number 12: E_tot -3.06 eV per atom. Number 13: E_tot -2.86 eV per atom. Number 14: E_tot -2.91 eV per atom.